1.
Compound: LiCa2Zn4Pt3
Source: the Alexandria database
Functional: PBE
Structure: optimized geometry

a = 4.1128 Å, b = 4.1128 Å, c = 11.1961 Å
α = 90.00°, β = 90.00°, γ = 90.00°
Last column: nearest neighbours and their distance in Å.
Element x y z (fractional)
Li  0.0000  0.0000  0.0000  4 Zn 2.55
Ca  0.0000  0.5000  0.7401  4 Pt 3.11, 8 Zn 3.23-3.38
Ca  0.5000  0.0000  0.2599  4 Pt 3.11, 8 Zn 3.23-3.38
Zn  0.0000  0.0000  0.5000  4 Pt 2.60, 4 Zn 2.91
Zn  0.0000  0.5000  0.1342  3 Pt 2.50-2.55, 2 Li 2.55
Zn  0.5000  0.0000  0.8658  3 Pt 2.50-2.55, 2 Li 2.55
Zn  0.5000  0.5000  0.5000  4 Pt 2.60, 4 Zn 2.91
Pt  0.0000  0.5000  0.3577  5 Zn 2.50-2.60
Pt  0.5000  0.0000  0.6423  5 Zn 2.50-2.60
Pt  0.5000  0.5000  0.0000  4 Zn 2.55

## Properties
* N(E_F): 4.08 states/eV/f.u.
* E: -3.55 eV/atom
* DFT formation energy: -0.63 eV/atom



2.
Compound: LiCa2Zn2Pt5
Source: the Alexandria database
Functional: PBE
Structure: optimized geometry

a = 9.5606 Å, b = 9.5606 Å, c = 3.8140 Å
α = 90.00°, β = 90.00°, γ = 90.00°
Last column: nearest neighbours and their distance in Å.
Element x y z (fractional)
Li  0.0000  0.0000  0.0000  8 Pt 2.77
Li  0.5000  0.5000  0.0000  8 Pt 2.77
Ca  0.1753  0.3247  0.0000  3 Zn 2.70-2.91
Ca  0.3247  0.8247  0.0000  3 Zn 2.70-2.91
Ca  0.6753  0.1753  0.0000  3 Zn 2.70-2.91
Ca  0.8247  0.6753  0.0000  3 Zn 2.70-2.91
Zn  0.1249  0.6249  0.0000  6 Pt 2.55-2.60, 1 Ca 2.70
Zn  0.3751  0.1249  0.0000  6 Pt 2.55-2.60, 1 Ca 2.70
Zn  0.6249  0.8751  0.0000  6 Pt 2.55-2.60, 1 Ca 2.70
Zn  0.8751  0.3751  0.0000  6 Pt 2.55-2.60, 1 Ca 2.70
Pt  0.0000  0.5000  0.5000  4 Zn 2.55
Pt  0.0635  0.7998  0.5000  2 Zn 2.60, 2 Li 2.77, 2 Pt 2.84
Pt  0.2002  0.0635  0.5000  2 Zn 2.60, 2 Li 2.77, 2 Pt 2.84
Pt  0.2998  0.5635  0.5000  2 Zn 2.60, 2 Li 2.77, 2 Pt 2.84
Pt  0.4365  0.2998  0.5000  2 Zn 2.60, 2 Li 2.77, 2 Pt 2.84
Pt  0.5000  0.0000  0.5000  4 Zn 2.55
Pt  0.5635  0.7002  0.5000  2 Zn 2.60, 2 Li 2.77, 2 Pt 2.84
Pt  0.7002  0.4365  0.5000  2 Zn 2.60, 2 Li 2.77, 2 Pt 2.84
Pt  0.7998  0.9365  0.5000  2 Zn 2.60, 2 Li 2.77, 2 Pt 2.84
Pt  0.9365  0.2002  0.5000  2 Zn 2.60, 2 Li 2.77, 2 Pt 2.84

## Properties
* N(E_F): 2.83 states/eV/f.u.
* E: -4.54 eV/atom
* DFT formation energy: -0.67 eV/atom